No. 1
! Tm3Sb2N PBE relaxed; values from VASP
! Symmetry: P-3m1
! E_tot, eV/cell: -36.1
&SYSTEM
  ibrav = 0, nat = 6, ntyp = 3
/
ATOMIC_SPECIES
Sb 121.76 Sb.upf
N 14.01 N.upf
Tm 168.93 Tm.upf
CELL_PARAMETERS angstrom
-1.1856 -0.2683 3.6649
-2.2616 -1.2731 -2.8589
4.4243 -9.5105 0.7351
ATOMIC_POSITIONS crystal
Sb 0.3333 0.6667 0.3128
Sb 0.6667 0.3333 0.6872
N 0.0000 0.0000 0.0000
Tm 0.0000 0.0000 0.5000
Tm 0.3333 0.6667 0.8814
Tm 0.6667 0.3333 0.1186

No. 2
! Tm3Sb3W2N12 PBE relaxed; values from VASP
! Symmetry: Ia-3d
! E_tot, eV/cell: -634.4
&SYSTEM
  ibrav = 0, nat = 80, ntyp = 4
/
ATOMIC_SPECIES
N 14.01 N.upf
W 183.84 W.upf
Tm 168.93 Tm.upf
Sb 121.76 Sb.upf
CELL_PARAMETERS angstrom
6.5611 1.7521 8.7218
-9.5100 -4.5016 3.3886
5.0156 -6.8654 -7.0637
ATOMIC_POSITIONS crystal
N 0.2961 0.3277 0.9142
N 0.0858 0.7039 0.6723
N 0.1723 0.4684 0.5865
N 0.6723 0.0858 0.7039
N 0.9142 0.1181 0.5865
N 0.0858 0.8819 0.4135
N 0.1181 0.5865 0.9142
N 0.7961 0.4142 0.8277
N 0.2039 0.5858 0.1723
N 0.9135 0.0316 0.3277
N 0.6181 0.4142 0.0865
N 0.9684 0.7961 0.8819
N 0.7961 0.8819 0.9684
N 0.7039 0.6723 0.0858
N 0.5865 0.9142 0.1181
N 0.8819 0.4135 0.0858
N 0.0865 0.6181 0.4142
N 0.4135 0.0858 0.8819
N 0.1723 0.2039 0.5858
N 0.5858 0.9135 0.3819
N 0.4142 0.0865 0.6181
N 0.2039 0.1181 0.0316
N 0.5316 0.6181 0.7039
N 0.0316 0.3277 0.9135
N 0.2961 0.4684 0.3819
N 0.4684 0.5865 0.1723
N 0.1181 0.0316 0.2039
N 0.3819 0.2961 0.4684
N 0.4684 0.3819 0.2961
N 0.8277 0.7961 0.4142
N 0.4142 0.8277 0.7961
N 0.8819 0.9684 0.7961
N 0.9142 0.2961 0.3277
N 0.0316 0.2039 0.1181
N 0.5858 0.1723 0.2039
N 0.6723 0.0865 0.9684
N 0.5865 0.1723 0.4684
N 0.6181 0.7039 0.5316
N 0.3277 0.9142 0.2961
N 0.5316 0.4135 0.8277
N 0.8277 0.5316 0.4135
N 0.4135 0.8277 0.5316
N 0.3277 0.9135 0.0316
N 0.9135 0.3819 0.5858
N 0.9684 0.6723 0.0865
N 0.7039 0.5316 0.6181
N 0.0865 0.9684 0.6723
N 0.3819 0.5858 0.9135
W 0.5000 0.0000 0.0000
W 0.0000 0.5000 0.5000
W 0.0000 0.0000 0.5000
W 0.0000 0.0000 0.0000
W 0.5000 0.5000 0.0000
W 0.5000 0.0000 0.5000
W 0.0000 0.5000 0.0000
W 0.5000 0.5000 0.5000
Tm 0.2500 0.3750 0.1250
Tm 0.3750 0.1250 0.2500
Tm 0.7500 0.6250 0.8750
Tm 0.7500 0.1250 0.3750
Tm 0.2500 0.8750 0.6250
Tm 0.8750 0.6250 0.2500
Tm 0.3750 0.7500 0.1250
Tm 0.1250 0.2500 0.3750
Tm 0.1250 0.3750 0.7500
Tm 0.6250 0.2500 0.8750
Tm 0.8750 0.7500 0.6250
Tm 0.6250 0.8750 0.7500
Sb 0.2500 0.1250 0.8750
Sb 0.7500 0.3750 0.6250
Sb 0.7500 0.8750 0.1250
Sb 0.2500 0.6250 0.3750
Sb 0.8750 0.2500 0.1250
Sb 0.3750 0.2500 0.6250
Sb 0.8750 0.1250 0.7500
Sb 0.1250 0.8750 0.2500
Sb 0.6250 0.3750 0.2500
Sb 0.1250 0.7500 0.8750
Sb 0.3750 0.6250 0.7500
Sb 0.6250 0.7500 0.3750

No. 3
! SbW4N3 PBE relaxed; values from VASP
! Symmetry: P6_3/mmc
! E_tot, eV/cell: -155.2
&SYSTEM
  ibrav = 0, nat = 16, ntyp = 3
/
ATOMIC_SPECIES
N 14.01 N.upf
W 183.84 W.upf
Sb 121.76 Sb.upf
CELL_PARAMETERS angstrom
3.1794 0.0000 0.0000
-1.5897 2.7535 0.0000
0.0000 0.0000 22.9031
ATOMIC_POSITIONS crystal
N 0.6667 0.3333 0.3973
N 0.0000 0.0000 0.0000
N 0.6667 0.3333 0.1027
N 0.0000 0.0000 0.5000
N 0.3333 0.6667 0.8973
N 0.3333 0.6667 0.6027
W 0.3333 0.6667 0.0460
W 0.0000 0.0000 0.3451
W 0.6667 0.3333 0.5460
W 0.6667 0.3333 0.9540
W 0.3333 0.6667 0.4540
W 0.0000 0.0000 0.8451
W 0.0000 0.0000 0.1549
W 0.0000 0.0000 0.6549
Sb 0.6667 0.3333 0.7500
Sb 0.3333 0.6667 0.2500

No. 4
! Y3Sb3W2N12 PBE relaxed; values from VASP
! Symmetry: Ia-3d
! E_tot, eV/cell: -657.7
&SYSTEM
  ibrav = 0, nat = 80, ntyp = 4
/
ATOMIC_SPECIES
N 14.01 N.upf
Y 88.91 Y.upf
Sb 121.76 Sb.upf
W 183.84 W.upf
CELL_PARAMETERS angstrom
-6.4290 6.4290 6.4290
6.4290 -6.4290 6.4290
6.4290 6.4290 -6.4290
ATOMIC_POSITIONS crystal
N 0.4124 0.8276 0.5292
N 0.0848 0.8832 0.4124
N 0.1724 0.2016 0.5848
N 0.3832 0.5848 0.9124
N 0.7016 0.6724 0.0848
N 0.5848 0.1724 0.2016
N 0.6724 0.0876 0.9708
N 0.4152 0.8276 0.7984
N 0.4708 0.5876 0.1724
N 0.0292 0.3276 0.9124
N 0.9708 0.6724 0.0876
N 0.0876 0.6168 0.4152
N 0.5876 0.1724 0.4708
N 0.7016 0.5292 0.6168
N 0.3832 0.2984 0.4708
N 0.8276 0.7984 0.4152
N 0.9124 0.3832 0.5848
N 0.2984 0.3276 0.9152
N 0.3276 0.9124 0.0292
N 0.5848 0.9124 0.3832
N 0.5292 0.4124 0.8276
N 0.6168 0.4152 0.0876
N 0.4152 0.0876 0.6168
N 0.2984 0.4708 0.3832
N 0.1168 0.5876 0.9152
N 0.4708 0.3832 0.2984
N 0.5876 0.9152 0.1168
N 0.2016 0.5848 0.1724
N 0.6724 0.0848 0.7016
N 0.0848 0.7016 0.6724
N 0.8832 0.4124 0.0848
N 0.8832 0.9708 0.7984
N 0.5292 0.6168 0.7016
N 0.9152 0.2984 0.3276
N 0.0292 0.2016 0.1168
N 0.2016 0.1168 0.0292
N 0.1724 0.4708 0.5876
N 0.7984 0.4152 0.8276
N 0.1168 0.0292 0.2016
N 0.0876 0.9708 0.6724
N 0.6168 0.7016 0.5292
N 0.3276 0.9152 0.2984
N 0.7984 0.8832 0.9708
N 0.4124 0.0848 0.8832
N 0.8276 0.5292 0.4124
N 0.9708 0.7984 0.8832
N 0.9124 0.0292 0.3276
N 0.9152 0.1168 0.5876
Y 0.3750 0.1250 0.2500
Y 0.8750 0.7500 0.6250
Y 0.1250 0.3750 0.7500
Y 0.2500 0.3750 0.1250
Y 0.7500 0.1250 0.3750
Y 0.6250 0.2500 0.8750
Y 0.7500 0.6250 0.8750
Y 0.6250 0.8750 0.7500
Y 0.1250 0.2500 0.3750
Y 0.8750 0.6250 0.2500
Y 0.2500 0.8750 0.6250
Y 0.3750 0.7500 0.1250
Sb 0.2500 0.1250 0.8750
Sb 0.7500 0.8750 0.1250
Sb 0.1250 0.7500 0.8750
Sb 0.8750 0.2500 0.1250
Sb 0.7500 0.3750 0.6250
Sb 0.3750 0.2500 0.6250
Sb 0.6250 0.7500 0.3750
Sb 0.3750 0.6250 0.7500
Sb 0.2500 0.6250 0.3750
Sb 0.8750 0.1250 0.7500
Sb 0.6250 0.3750 0.2500
Sb 0.1250 0.8750 0.2500
W 0.5000 0.0000 0.0000
W 0.0000 0.0000 0.5000
W 0.5000 0.5000 0.0000
W 0.0000 0.5000 0.0000
W 0.5000 0.5000 0.5000
W 0.0000 0.0000 0.0000
W 0.0000 0.5000 0.5000
W 0.5000 0.0000 0.5000